1.
First-principles (PBE) data for crystalline NiSb2TeCl at its relaxed geometry, as listed in the Alexandria database.

Lattice parameters (Å, degrees): 5.2014 5.2014 5.4951 90.00 90.00 90.00
Closest atoms and distances in Å follow each position.
Space group P4/mmm (No. 123)
Unique sites:
Ni: 0.0000 0.0000 0.0000 [1 per cell]  4 Te 3.68, 8 Sb 3.78
Sb: 0.0000 0.5000 0.5000 [2 per cell]  2 Cl 2.60
Te: 0.5000 0.5000 0.0000 [1 per cell]  2 Cl 2.75
Cl: 0.5000 0.5000 0.5000 [1 per cell]  4 Sb 2.60, 2 Te 2.75

Output
- DFT total energy (eV per cell) = -13.00
- uncorrected formation energy (eV per atom) = 1.202
- N(E_F) (states/eV/cell) = 7.0

---

2.
First-principles (PBE) data for crystalline NiSb2TeCl at its relaxed geometry, as listed in the Alexandria database.

Lattice parameters (Å, degrees): 5.0358 5.0358 4.9823 90.00 90.00 90.00
Closest atoms and distances in Å follow each position.
Space group P4/mmm (No. 123)
Unique sites:
Ni: 0.0000 0.0000 0.0000 [1 per cell]  2 Te 2.49, 4 Sb 2.52
Sb: 0.0000 0.5000 0.0000 [2 per cell]  2 Ni 2.52
Te: 0.0000 0.0000 0.5000 [1 per cell]  2 Ni 2.49
Cl: 0.5000 0.5000 0.5000 [1 per cell]  8 Sb 3.54, 4 Te 3.56

Output
- DFT total energy (eV per cell) = -17.91
- uncorrected formation energy (eV per atom) = 0.220
- N(E_F) (states/eV/cell) = 6.8

---

3.
First-principles (PBE) data for crystalline TlNiSbCl6 at its relaxed geometry, as listed in the Alexandria database.

Lattice parameters (Å, degrees): 6.6755 6.6755 7.0786 90.00 90.00 120.00
Closest atoms and distances in Å follow each position.
Space group P312 (No. 149)
Unique sites:
Tl: 0.0000 0.0000 0.0000 [1 per cell]  6 Cl 3.25
Ni: 0.3333 0.6667 0.5000 [1 per cell]  6 Cl 2.43
Sb: 0.6667 0.3333 0.5000 [1 per cell]  6 Cl 2.68
Cl: 0.0292 0.3841 0.7018 [6 per cell]  1 Ni 2.43, 1 Sb 2.68

Output
- DFT total energy (eV per cell) = -30.48
- uncorrected formation energy (eV per atom) = -0.792